1.
The following is a PBE calculation of a relaxed LaMnZn2 crystal, from Alexandria via LeMat-Bulk.

Properties
Formation enthalpy at 0 K, eV/atom: 0.313
Crystal system: trigonal

Geometry as CIF:
```
data_LaMnZn2
_cell_length_a 9.1311
_cell_length_b 9.1311
_cell_length_c 9.1311
_cell_angle_alpha 20.94
_cell_angle_beta 20.94
_cell_angle_gamma 20.94
_symmetry_space_group_name_H-M 'P 1'
_symmetry_Int_Tables_number 1
_symmetry_space_group_name_Hall 'P 1'
loop_
_atom_site_label
_atom_site_fract_x
_atom_site_fract_y
_atom_site_fract_z
_atom_site_occupancy
Mn1 0.7355 0.7355 0.7355 1
Zn1 0.9995 0.9995 0.9995 1
Zn2 0.2652 0.2652 0.2652 1
La1 0.4998 0.4998 0.4998 1
```

***

2.
The following is a PBE calculation of a relaxed AsC5 crystal, from Alexandria via LeMat-Bulk.

Properties
Formation enthalpy at 0 K, eV/atom: 3.213
Crystal system: hexagonal

Geometry as CIF:
```
data_AsC5
_cell_length_a 3.4506
_cell_length_b 3.4506
_cell_length_c 7.5419
_cell_angle_alpha 90.00
_cell_angle_beta 90.00
_cell_angle_gamma 120.00
_symmetry_space_group_name_H-M 'P 1'
_symmetry_Int_Tables_number 1
_symmetry_space_group_name_Hall 'P 1'
loop_
_atom_site_label
_atom_site_fract_x
_atom_site_fract_y
_atom_site_fract_z
_atom_site_occupancy
C1 0.3333 0.6667 0.5000 1
C2 0.5000 0.0000 0.0000 1
C3 0.5000 0.5000 0.0000 1
C4 0.0000 0.5000 0.0000 1
C5 0.6667 0.3333 0.5000 1
As1 0.0000 0.0000 0.5000 1
```

***

3.
The following is a PBE calculation of a relaxed La4RhN2 crystal, from Alexandria via LeMat-Bulk.

Properties
ΔE_f (raw), eV/atom: -0.4594
Crystal system: tetragonal

Geometry as CIF:
```
data_La4RhN2
_cell_length_a 5.3711
_cell_length_b 5.3711
_cell_length_c 7.5135
_cell_angle_alpha 69.06
_cell_angle_beta 69.06
_cell_angle_gamma 90.00
_symmetry_space_group_name_H-M 'P 1'
_symmetry_Int_Tables_number 1
_symmetry_space_group_name_Hall 'P 1'
loop_
_atom_site_label
_atom_site_fract_x
_atom_site_fract_y
_atom_site_fract_z
_atom_site_occupancy
La1 0.7480 0.7480 0.5041 1
La2 0.2520 0.2520 0.4959 1
La3 0.0000 0.5000 0.0000 1
La4 0.5000 0.0000 0.0000 1
N1 0.5915 0.5915 0.8171 1
N2 0.4085 0.4085 0.1829 1
Rh1 0.0000 0.0000 0.0000 1
```

***

4.
The following is a PBE calculation of a relaxed La2BeBiIr crystal, from Alexandria via LeMat-Bulk.

Properties
Formation enthalpy at 0 K, eV/atom: -0.591
Crystal system: tetragonal

Geometry as CIF:
```
data_La2BeBiIr
_cell_length_a 5.5764
_cell_length_b 5.5764
_cell_length_c 4.4662
_cell_angle_alpha 90.00
_cell_angle_beta 90.00
_cell_angle_gamma 90.00
_symmetry_space_group_name_H-M 'P 1'
_symmetry_Int_Tables_number 1
_symmetry_space_group_name_Hall 'P 1'
loop_
_atom_site_label
_atom_site_fract_x
_atom_site_fract_y
_atom_site_fract_z
_atom_site_occupancy
Ir1 0.0000 0.0000 0.0000 1
Be1 0.0000 0.0000 0.5000 1
La1 0.0000 0.5000 0.0000 1
La2 0.5000 0.0000 0.0000 1
Bi1 0.5000 0.5000 0.5000 1
```

***

Sequential raw total energy output: -15.4, -31.5, -46.9, -29.3 eV for the cell shown